(1)
# ZnInTe | the Alexandria database | GGA-PBE | optimized geometry
data_ZnInTe
_space_group_name_H-M_alt 'I m m 2'
_space_group_IT_number 44
_cell_length_a 3.3160
_cell_length_b 3.8467
_cell_length_c 12.0363
_cell_angle_alpha 90.00
_cell_angle_beta 90.00
_cell_angle_gamma 90.00
loop_
_space_group_symop_operation_xyz
'x,y,z'
'-x,-y,z'
'-x,y,z'
'x,-y,z'
'x+1/2,y+1/2,z+1/2'
'-x+1/2,-y+1/2,z+1/2'
'-x+1/2,y+1/2,z+1/2'
'x+1/2,-y+1/2,z+1/2'
loop_
_atom_site_label
_atom_site_fract_x
_atom_site_fract_y
_atom_site_fract_z
Zn1 0.0000 0.0000 0.0000
In1 0.0000 0.0000 0.6538
Te1 0.0000 0.0000 0.3658
# **Polymorph energy (0 for the lowest one)**: 18.46 kJ/mol of atoms
# **M_tot**: 0.00 μB/f.u.
# **Theoretical density**: 6.66 Mg/m³
# **Energy relative to the elements, uncorrected**: 0.057 eV per atom
# **Crystal system**: orthorhombic

=====

(2)
# ZnIn2Te | the Alexandria database | GGA-PBE | optimized geometry
data_ZnIn2Te
_space_group_name_H-M_alt 'P 4 m m'
_space_group_IT_number 99
_cell_length_a 3.7276
_cell_length_b 3.7276
_cell_length_c 7.5321
_cell_angle_alpha 90.00
_cell_angle_beta 90.00
_cell_angle_gamma 90.00
loop_
_space_group_symop_operation_xyz
'x,y,z'
'-y,x,z'
'-x,-y,z'
'y,-x,z'
'-x,y,z'
'y,x,z'
'x,-y,z'
'-y,-x,z'
loop_
_atom_site_label
_atom_site_fract_x
_atom_site_fract_y
_atom_site_fract_z
Zn1 0.0000 0.0000 0.0000
In1 0.0000 0.0000 0.5158
In2 0.5000 0.5000 0.2235
Te1 0.5000 0.5000 0.8006
# **Polymorph energy (0 for the lowest one)**: 8.01 kJ/mol of atoms
# **M_tot**: 0.00 μB/f.u.
# **Theoretical density**: 6.71 Mg/m³
# **Energy relative to the elements, uncorrected**: 0.021 eV per atom
# **Crystal system**: tetragonal

=====

(3)
# ZnIn2Te | the Alexandria database | GGA-PBE | optimized geometry
data_ZnIn2Te
_space_group_name_H-M_alt 'I -4 m 2'
_space_group_IT_number 119
_space_group_name_Hall 'I -4 -2'
_cell_length_a 4.6536
_cell_length_b 4.6536
_cell_length_c 10.0240
_cell_angle_alpha 90.00
_cell_angle_beta 90.00
_cell_angle_gamma 90.00
loop_
_atom_site_label
_atom_site_fract_x
_atom_site_fract_y
_atom_site_fract_z
Zn1 0.0000 0.0000 0.0000
In1 0.0000 0.0000 0.5000
In2 0.0000 0.5000 0.7500
Te1 0.0000 0.5000 0.2500
# **Polymorph energy (0 for the lowest one)**: 12.29 kJ/mol of atoms
# **M_tot**: 0.00 μB/f.u.
# **Theoretical density**: 6.47 Mg/m³
# **Energy relative to the elements, uncorrected**: 0.065 eV per atom
# **Crystal system**: tetragonal

=====

(4)
# ZnIn2Te | the Alexandria database | GGA-PBE | optimized geometry
data_ZnIn2Te
_space_group_name_H-M_alt 'P 4/m m m'
_space_group_IT_number 123
_space_group_name_Hall '-P 4 2'
_cell_length_a 3.9046
_cell_length_b 3.9046
_cell_length_c 6.8319
_cell_angle_alpha 90.00
_cell_angle_beta 90.00
_cell_angle_gamma 90.00
loop_
_atom_site_label
_atom_site_fract_x
_atom_site_fract_y
_atom_site_fract_z
Zn1 0.0000 0.0000 0.0000
In1 0.5000 0.5000 0.2361
Te1 0.0000 0.0000 0.5000
# **Polymorph energy (0 for the lowest one)**: 8.91 kJ/mol of atoms
# **M_tot**: 0.00 μB/f.u.
# **Theoretical density**: 6.74 Mg/m³
# **Energy relative to the elements, uncorrected**: 0.030 eV per atom
# **Crystal system**: tetragonal

=====

(5)
# ZnIn3Te | the Alexandria database | GGA-PBE | optimized geometry
data_ZnIn3Te
_space_group_name_H-M_alt 'P m -3 m'
_space_group_IT_number 221
_space_group_name_Hall '-P 4 2 3'
_cell_length_a 5.2673
_cell_length_b 5.2673
_cell_length_c 5.2673
_cell_angle_alpha 90.00
_cell_angle_beta 90.00
_cell_angle_gamma 90.00
loop_
_atom_site_label
_atom_site_fract_x
_atom_site_fract_y
_atom_site_fract_z
Zn1 0.0000 0.0000 0.0000
In1 0.0000 0.0000 0.5000
Te1 0.5000 0.5000 0.5000
# **Polymorph energy (0 for the lowest one)**: 0.00 kJ/mol of atoms
# **M_tot**: 0.00 μB/f.u.
# **Theoretical density**: 6.11 Mg/m³
# **Energy relative to the elements, uncorrected**: 0.044 eV per atom
# **Crystal system**: cubic

=====

(6)
# Zn2In2Te | the Alexandria database | GGA-PBE | optimized geometry
data_Zn2In2Te
_space_group_name_H-M_alt 'I 4/m m m'
_space_group_IT_number 139
_space_group_name_Hall '-I 4 2'
_cell_length_a 4.5066
_cell_length_b 4.5066
_cell_length_c 12.1254
_cell_angle_alpha 90.00
_cell_angle_beta 90.00
_cell_angle_gamma 90.00
loop_
_atom_site_label
_atom_site_fract_x
_atom_site_fract_y
_atom_site_fract_z
Zn1 0.0000 0.0000 0.0992
In1 0.0000 0.5000 0.2500
Te1 0.0000 0.0000 0.5000
# **Polymorph energy (0 for the lowest one)**: 7.47 kJ/mol of atoms
# **M_tot**: 0.00 μB/f.u.
# **Theoretical density**: 6.58 Mg/m³
# **Energy relative to the elements, uncorrected**: 0.111 eV per atom
# **Crystal system**: tetragonal

=====

(7)
# Zn5In12Te3 | the Alexandria database | GGA-PBE | optimized geometry
data_Zn5In12Te3
_space_group_name_H-M_alt 'I a -3 d'
_space_group_IT_number 230
_space_group_name_Hall '-I 4bd 2c 3'
_cell_length_a 16.9605
_cell_length_b 16.9605
_cell_length_c 16.9605
_cell_angle_alpha 90.00
_cell_angle_beta 90.00
_cell_angle_gamma 90.00
loop_
_atom_site_label
_atom_site_fract_x
_atom_site_fract_y
_atom_site_fract_z
Zn1 0.0000 0.0000 0.0000
Zn2 0.0000 0.2500 0.3750
In1 0.0334 0.0674 0.6415
Te1 0.0000 0.2500 0.1250
# **M_tot**: 0.00 μB/f.u.
# **Theoretical density**: 5.68 Mg/m³
# **Energy relative to the elements, uncorrected**: 0.121 eV per atom
# **Crystal system**: cubic

=====

(8)
# ZnIn2Te | the Alexandria database | GGA-PBE | optimized geometry
data_ZnIn2Te
_space_group_name_H-M_alt 'P 1 2/m 1'
_space_group_IT_number 10
_cell_length_a 3.1499
_cell_length_b 4.0999
_cell_length_c 8.0226
_cell_angle_alpha 90.00
_cell_angle_beta 90.03
_cell_angle_gamma 90.00
loop_
_space_group_symop_operation_xyz
'x,y,z'
'-x,-y,-z'
'-x,y,-z'
'x,-y,z'
loop_
_atom_site_label
_atom_site_fract_x
_atom_site_fract_y
_atom_site_fract_z
Zn1 0.0000 0.0000 0.0000
In1 0.4969 0.5000 0.2062
Te1 0.5000 0.0000 0.5000
# **Polymorph energy (0 for the lowest one)**: 4.73 kJ/mol of atoms
# **M_tot**: 0.00 μB/f.u.
# **Theoretical density**: 6.77 Mg/m³
# **Energy relative to the elements, uncorrected**: -0.013 eV per atom
# **Crystal system**: monoclinic

=====

(9)
# Zn2In2Te | the Alexandria database | GGA-PBE | optimized geometry
data_Zn2In2Te
_space_group_name_H-M_alt 'P 4/m b m'
_space_group_IT_number 127
_space_group_name_Hall '-P 4 2ab'
_cell_length_a 8.7276
_cell_length_b 8.7276
_cell_length_c 3.1818
_cell_angle_alpha 90.00
_cell_angle_beta 90.00
_cell_angle_gamma 90.00
loop_
_atom_site_label
_atom_site_fract_x
_atom_site_fract_y
_atom_site_fract_z
Zn1 0.1050 0.3950 0.0000
In1 0.1945 0.6945 0.5000
Te1 0.0000 0.0000 0.5000
# **Polymorph energy (0 for the lowest one)**: 3.04 kJ/mol of atoms
# **M_tot**: 0.00 μB/f.u.
# **Theoretical density**: 6.69 Mg/m³
# **Energy relative to the elements, uncorrected**: 0.065 eV per atom
# **Crystal system**: tetragonal

=====

(10)
# ZnIn2Te | the Alexandria database | GGA-PBE | optimized geometry
data_ZnIn2Te
_space_group_name_H-M_alt 'F m -3 m'
_space_group_IT_number 225
_space_group_name_Hall '-F 4 2 3'
_cell_length_a 7.6599
_cell_length_b 7.6599
_cell_length_c 7.6599
_cell_angle_alpha 90.00
_cell_angle_beta 90.00
_cell_angle_gamma 90.00
loop_
_atom_site_label
_atom_site_fract_x
_atom_site_fract_y
_atom_site_fract_z
Zn1 0.0000 0.0000 0.0000
In1 0.2500 0.2500 0.2500
Te1 0.0000 0.0000 0.5000
# **Polymorph energy (0 for the lowest one)**: 12.51 kJ/mol of atoms
# **M_tot**: 0.00 μB/f.u.
# **Theoretical density**: 6.25 Mg/m³
# **Energy relative to the elements, uncorrected**: 0.067 eV per atom
# **Crystal system**: cubic

=====

(11)
# ZnIn2Te | the Alexandria database | GGA-PBE | optimized geometry
data_ZnIn2Te
_space_group_name_H-M_alt 'P 1 2/m 1'
_space_group_IT_number 10
_cell_length_a 4.8624
_cell_length_b 4.3991
_cell_length_c 5.1442
_cell_angle_alpha 90.00
_cell_angle_beta 98.96
_cell_angle_gamma 90.00
loop_
_space_group_symop_operation_xyz
'x,y,z'
'-x,-y,-z'
'-x,y,-z'
'x,-y,z'
loop_
_atom_site_label
_atom_site_fract_x
_atom_site_fract_y
_atom_site_fract_z
Zn1 0.0000 0.0000 0.0000
In1 0.5000 0.0000 0.5000
In2 0.5000 0.5000 0.0000
Te1 0.0000 0.5000 0.5000
# **Polymorph energy (0 for the lowest one)**: 9.89 kJ/mol of atoms
# **M_tot**: 0.00 μB/f.u.
# **Theoretical density**: 6.46 Mg/m³
# **Energy relative to the elements, uncorrected**: 0.040 eV per atom
# **Crystal system**: monoclinic

=====

(12)
# ZnIn4Te | the Alexandria database | GGA-PBE | optimized geometry
data_ZnIn4Te
_space_group_name_H-M_alt 'F -4 3 m'
_space_group_IT_number 216
_space_group_name_Hall 'F -4 2 3'
_cell_length_a 8.8658
_cell_length_b 8.8658
_cell_length_c 8.8658
_cell_angle_alpha 90.00
_cell_angle_beta 90.00
_cell_angle_gamma 90.00
loop_
_atom_site_label
_atom_site_fract_x
_atom_site_fract_y
_atom_site_fract_z
Zn1 0.0000 0.0000 0.0000
In1 0.1250 0.1250 0.6250
Te1 0.2500 0.2500 0.2500
# **M_tot**: 0.00 μB/f.u.
# **Theoretical density**: 6.22 Mg/m³
# **Energy relative to the elements, uncorrected**: 0.194 eV per atom
# **Crystal system**: cubic

=====

no.,energy (eV per cell)
1,-13.97
2,-9.81
3,-19.27
4,-9.77
5,-12.41
6,-21.22
7,-369.88
8,-9.95
9,-21.68
10,-38.49
11,-9.73
12,-56.81